Record 1
RbZr2V | the Alexandria database | PBE | relaxed; SG = I4_1/amd; density of states at the Fermi level = 0.532 states/eV per atom
1.0
-6.340 1.321 4.105
3.533 -2.594 6.292
0.352 4.400 6.289
Zr V Rb
4 2 2
Direct
0.375 0.625 0.250
0.875 0.625 0.750
0.375 0.125 0.250
0.375 0.625 0.750
0.250 0.750 0.500
0.500 0.500 0.000
0.000 0.000 0.000
0.750 0.250 0.500

Record 2
RbZr3V | the Alexandria database | PBE | relaxed; SG = Pm-3m; density of states at the Fermi level = 1.885 states/eV per atom
1.0
5.166 0.000 0.000
0.000 5.166 0.000
0.000 0.000 5.166
V Zr Rb
1 3 1
Direct
0.000 0.000 0.000
0.000 0.500 0.000
0.500 0.000 0.000
0.000 0.000 0.500
0.500 0.500 0.500

Record 3
RbZrV2 | the Alexandria database | PBE | relaxed; SG = I4_1/amd; density of states at the Fermi level = 1.855 states/eV per atom
1.0
5.097 0.000 0.000
0.000 5.097 0.000
2.548 2.548 9.536
V Zr Rb
4 2 2
Direct
0.375 0.125 0.750
0.875 0.125 0.250
0.875 0.625 0.250
0.875 0.125 0.750
0.000 0.000 0.000
0.750 0.250 0.500
0.500 0.500 0.000
0.250 0.750 0.500

Record 4
RbZrV2 | the Alexandria database | PBE | relaxed; SG = Fm-3m; density of states at the Fermi level = 1.947 states/eV per atom
1.0
0.000 3.610 3.610
3.610 0.000 3.610
3.610 3.610 0.000
V Rb Zr
2 1 1
Direct
0.750 0.750 0.750
0.250 0.250 0.250
0.000 0.000 0.000
0.500 0.500 0.500

Record 5
RbZr2V | the Alexandria database | PBE | relaxed; SG = Fm-3m; density of states at the Fermi level = 0.959 states/eV per atom
1.0
-3.839 -3.313 -1.047
-4.890 1.256 1.152
-3.365 1.052 -3.792
Rb Zr V
1 2 1
Direct
0.500 0.500 0.500
0.250 0.250 0.250
0.750 0.750 0.750
0.000 0.000 0.000

Record 6
Rb2ZrV | the Alexandria database | PBE | relaxed; SG = Fm-3m; density of states at the Fermi level = 2.777 states/eV per atom
1.0
-5.545 -2.677 0.466
-4.482 2.727 3.257
-4.868 2.456 -2.900
V Rb Zr
1 2 1
Direct
0.000 0.000 0.000
0.750 0.750 0.750
0.250 0.250 0.250
0.500 0.500 0.500

What are the distance to the lowest polymorph of the same formula values for these records? In order: 0.075 0.000 0.188 0.000 0.000 0.462 eV per atom.
What are the calculated formation energy values for these records? In order: 1.328 0.966 1.724 1.535 1.253 1.845 eV per atom.
What are the DFT total energy values for these records? In order: -5.47 -6.18 -5.21 -5.40 -5.54 -3.06 eV per atom.